Below is crystalline Nb3Co2H4 at its relaxed geometry, with properties calculated at the GGA-PBE level.

**Total DFT energy (no corrections)**: -58.3 eV for the cell shown

a = 5.0791 Å, b = 5.0791 Å, c = 6.8543 Å
α = 114.11°, β = 114.11°, γ = 32.38°
Fractional positions:
Nb  0.0000  0.0000  0.0000
Nb  0.3433  0.3433  0.2507
Nb  0.6567  0.6567  0.7493
Co  0.3524  0.3524  0.6333
Co  0.6476  0.6476  0.3667
H  0.0256  0.0256  0.3160
H  0.3267  0.3267  0.8867
H  0.6733  0.6733  0.1133
H  0.9744  0.9744  0.6840


Below is crystalline YCd2Pb at its relaxed geometry, with properties calculated at the GGA-PBE level.

**ΔE_f**: -0.187 eV per atom

a = 6.1247 Å, b = 6.1247 Å, c = 5.6767 Å
α = 113.37°, β = 113.37°, γ = 33.28°
Fractional positions:
Y  0.0000  0.0000  0.0000
Cd  0.4937  0.4937  0.4881
Cd  0.7488  0.7488  0.4070
Pb  0.2457  0.2457  0.9028


Below is crystalline Ba4PdRh at its relaxed geometry, with properties calculated at the GGA-PBE level.

**ΔE_f**: -0.276 eV per atom

a = 10.1633 Å, b = 10.1633 Å, c = 7.8779 Å
α = 105.38°, β = 105.38°, γ = 125.96°
Fractional positions:
Ba  0.0550  0.4222  0.2463
Ba  0.1918  0.2951  0.7418
Ba  0.2951  0.1918  0.2418
Ba  0.4222  0.0550  0.7463
Ba  0.5778  0.9450  0.2537
Ba  0.7049  0.8082  0.7582
Ba  0.8082  0.7049  0.2582
Ba  0.9450  0.5778  0.7537
Pd  0.4264  0.5736  0.2500
Pd  0.5736  0.4264  0.7500
Rh  0.0777  0.9223  0.7500
Rh  0.9223  0.0777  0.2500


Below is crystalline LiDy2Tm at its relaxed geometry, with properties calculated at the GGA-PBE level.

**ΔE_f**: 0.087 eV per atom

a = 11.3368 Å, b = 11.3368 Å, c = 11.3368 Å
α = 17.62°, β = 17.62°, γ = 17.62°
Fractional positions:
Li  0.0000  0.0000  0.0000
Dy  0.5841  0.5841  0.5841
Dy  0.7489  0.7489  0.7489
Tm  0.1665  0.1665  0.1665


Below is crystalline LaCuAs2 at its relaxed geometry, with properties calculated at the GGA-PBE level.

**ΔE_f**: -0.516 eV per atom

a = 8.7768 Å, b = 8.7768 Å, c = 8.7768 Å
α = 147.36°, β = 147.36°, γ = 46.83°
Fractional positions:
La  0.0000  0.0000  0.0000
La  0.7500  0.2500  0.5000
Cu  0.2500  0.7500  0.5000
Cu  0.5000  0.5000  0.0000
As  0.2800  0.6250  0.1550
As  0.3750  0.5300  0.6550
As  0.4700  0.1250  0.8450
As  0.8750  0.7200  0.3450


Below is crystalline Hg2Te2S5 at its relaxed geometry, with properties calculated at the GGA-PBE level.

**ΔE_f (raw)**: 159 meV/atom

a = 5.4791 Å, b = 5.5244 Å, c = 9.8407 Å
α = 104.19°, β = 92.20°, γ = 92.31°
Fractional positions:
Hg  0.0289  0.1748  0.3602
Hg  0.9711  0.8252  0.6398
Te  0.4652  0.4032  0.7361
Te  0.5348  0.5968  0.2639
S  0.0292  0.3265  0.6673
S  0.4879  0.7955  0.6665
S  0.5000  0.5000  0.0000
S  0.5121  0.2045  0.3335
S  0.9708  0.6735  0.3327


Below is crystalline ZrAg2Hg at its relaxed geometry, with properties calculated at the GGA-PBE level.

**ΔE_f**: 0.099 eV per atom

a = 4.3243 Å, b = 4.3243 Å, c = 4.3537 Å
α = 90.00°, β = 90.00°, γ = 90.00°
Fractional positions:
Zr  0.0000  0.0000  0.0000
Ag  0.0000  0.5000  0.5000
Ag  0.5000  0.0000  0.5000
Hg  0.5000  0.5000  0.0000


Below is crystalline BaZrPt at its relaxed geometry, with properties calculated at the GGA-PBE level.

**ΔE_f**: 0.854 eV per atom

a = 4.8774 Å, b = 4.8774 Å, c = 4.8774 Å
α = 60.00°, β = 60.00°, γ = 60.00°
Fractional positions:
Ba  0.0000  0.0000  0.0000
Zr  0.2500  0.2500  0.2500
Pt  0.7500  0.7500  0.7500


Below is crystalline Ba5IrBr at its relaxed geometry, with properties calculated at the GGA-PBE level.

**ΔE_f (raw)**: -549 meV/atom

a = 8.0929 Å, b = 9.3525 Å, c = 10.5332 Å
α = 104.78°, β = 98.37°, γ = 104.79°
Fractional positions:
Ba  0.0000  0.0000  0.0000
Ba  0.0006  0.5213  0.9737
Ba  0.1838  0.3895  0.3897
Ba  0.2002  0.9287  0.3846
Ba  0.4395  0.8090  0.7924
Ba  0.4452  0.3420  0.7950
Ba  0.6348  0.2088  0.1993
Ba  0.6495  0.7376  0.1715
Ba  0.8175  0.6169  0.6105
Ba  0.8218  0.1090  0.5667
Ir  0.7143  0.6602  0.8750
Ir  0.9195  0.0720  0.2953
Br  0.3254  0.3805  0.1006
Br  0.5088  0.7495  0.4703


Below is crystalline TiOs3I at its relaxed geometry, with properties calculated at the GGA-PBE level.

**ΔE_f (raw)**: 2100 meV/atom

a = 4.6457 Å, b = 4.6457 Å, c = 4.6457 Å
α = 90.00°, β = 90.00°, γ = 90.00°
Fractional positions:
Ti  0.0000  0.0000  0.0000
Os  0.0000  0.0000  0.5000
Os  0.0000  0.5000  0.0000
Os  0.5000  0.0000  0.0000
I  0.5000  0.5000  0.5000


Below is crystalline GaPd8Au2 at its relaxed geometry, with properties calculated at the GGA-PBE level.

**ΔE_f**: -0.049 eV per atom

a = 6.6345 Å, b = 6.6345 Å, c = 4.3579 Å
α = 90.00°, β = 90.00°, γ = 105.42°
Fractional positions:
Ga  0.0000  0.0000  0.0000
Pd  0.0368  0.2967  0.5000
Pd  0.2319  0.7681  0.0000
Pd  0.2967  0.0368  0.5000
Pd  0.3220  0.3220  0.0000
Pd  0.6780  0.6780  0.0000
Pd  0.7033  0.9632  0.5000
Pd  0.7681  0.2319  0.0000
Pd  0.9632  0.7033  0.5000
Au  0.3734  0.6266  0.5000
Au  0.6266  0.3734  0.5000


Below is crystalline Sm8GaGe2 at its relaxed geometry, with properties calculated at the GGA-PBE level.

**ΔE_f**: -0.378 eV per atom

a = 9.8763 Å, b = 9.8763 Å, c = 6.8182 Å
α = 102.18°, β = 102.18°, γ = 29.11°
Fractional positions:
Sm  0.0246  0.0246  0.2756
Sm  0.2125  0.2125  0.8332
Sm  0.3388  0.3388  0.5031
Sm  0.4081  0.4081  0.0274
Sm  0.5919  0.5919  0.9726
Sm  0.6612  0.6612  0.4969
Sm  0.7875  0.7875  0.1668
Sm  0.9754  0.9754  0.7244
Ga  0.5000  0.5000  0.5000
Ge  0.1833  0.1833  0.2592
Ge  0.8167  0.8167  0.7408


Below is crystalline La2NdGeN4 at its relaxed geometry, with properties calculated at the GGA-PBE level.

**ΔE_f (raw)**: -895 meV/atom

a = 6.1805 Å, b = 6.1805 Å, c = 12.3252 Å
α = 90.00°, β = 90.00°, γ = 145.25°
Fractional positions:
La  0.1305  0.8695  0.5459
La  0.1305  0.8695  0.9541
La  0.8695  0.1305  0.0459
La  0.8695  0.1305  0.4541
Nd  0.3977  0.6023  0.7500
Nd  0.6023  0.3977  0.2500
Ge  0.3323  0.6677  0.2500
Ge  0.6677  0.3323  0.7500
N  0.0808  0.9192  0.7500
N  0.2234  0.7766  0.1353
N  0.2234  0.7766  0.3647
N  0.5000  0.5000  0.0000
N  0.5000  0.5000  0.5000
N  0.7766  0.2234  0.6353
N  0.7766  0.2234  0.8647
N  0.9192  0.0808  0.2500


Below is crystalline Y2AlCd3 at its relaxed geometry, with properties calculated at the GGA-PBE level.

**ΔE_f**: -0.366 eV per atom

a = 3.5275 Å, b = 4.8418 Å, c = 8.3806 Å
α = 90.00°, β = 90.00°, γ = 90.00°
Fractional positions:
Y  0.0000  0.0000  0.0000
Y  0.0000  0.5000  0.4839
Al  0.5000  0.0000  0.3246
Cd  0.5000  0.0000  0.6524
Cd  0.5000  0.5000  0.1621
Cd  0.5000  0.5000  0.8237


Below is crystalline VPb3Se at its relaxed geometry, with properties calculated at the GGA-PBE level.

**ΔE_f (raw)**: 352 meV/atom

a = 5.3173 Å, b = 5.3173 Å, c = 5.3173 Å
α = 90.00°, β = 90.00°, γ = 90.00°
Fractional positions:
V  0.0000  0.0000  0.0000
Pb  0.0000  0.0000  0.5000
Pb  0.0000  0.5000  0.0000
Pb  0.5000  0.0000  0.0000
Se  0.5000  0.5000  0.5000


Below is crystalline SrZrAs2 at its relaxed geometry, with properties calculated at the GGA-PBE level.

**ΔE_f**: -0.522 eV per atom

a = 6.2066 Å, b = 6.2066 Å, c = 6.2066 Å
α = 141.02°, β = 141.02°, γ = 56.30°
Fractional positions:
Sr  0.0000  0.0000  0.0000
Zr  0.2500  0.7500  0.5000
As  0.5000  0.5000  0.0000
As  0.7500  0.2500  0.5000


Below is crystalline EuHoAlZn at its relaxed geometry, with properties calculated at the GGA-PBE level.

**ΔE_f**: -0.275 eV per atom

a = 5.1916 Å, b = 5.1916 Å, c = 5.1916 Å
α = 60.00°, β = 60.00°, γ = 60.00°
Fractional positions:
Eu  0.0000  0.0000  0.0000
Ho  0.5000  0.5000  0.5000
Al  0.7500  0.7500  0.7500
Zn  0.2500  0.2500  0.2500


Below is crystalline Te4Pd5Rh at its relaxed geometry, with properties calculated at the GGA-PBE level.

**ΔE_f (raw)**: -242 meV/atom

a = 8.2848 Å, b = 8.2848 Å, c = 7.1368 Å
α = 111.34°, β = 111.34°, γ = 25.93°
Fractional positions:
Te  0.0718  0.0718  0.3355
Te  0.3416  0.3416  0.1994
Te  0.6584  0.6584  0.8006
Te  0.9282  0.9282  0.6645
Pd  0.1514  0.1514  0.0721
Pd  0.2373  0.2373  0.6291
Pd  0.5000  0.5000  0.0000
Pd  0.7627  0.7627  0.3709
Pd  0.8486  0.8486  0.9279
Rh  0.5000  0.5000  0.5000


Below is crystalline ZrOsSe2N at its relaxed geometry, with properties calculated at the GGA-PBE level.

**ΔE_f (raw)**: 980 meV/atom

a = 5.2845 Å, b = 5.2845 Å, c = 3.9799 Å
α = 90.00°, β = 90.00°, γ = 90.00°
Fractional positions:
Zr  0.0000  0.0000  0.0000
Os  0.5000  0.5000  0.5000
Se  0.0000  0.5000  0.0000
Se  0.5000  0.0000  0.0000
N  0.0000  0.0000  0.5000


Below is crystalline Li2AgSbH at its relaxed geometry, with properties calculated at the GGA-PBE level.

**Total DFT energy (no corrections)**: -15.6 eV for the cell shown

a = 4.3401 Å, b = 4.3401 Å, c = 3.9487 Å
α = 90.00°, β = 90.00°, γ = 90.00°
Fractional positions:
Li  0.0000  0.5000  0.0000
Li  0.5000  0.0000  0.0000
Ag  0.0000  0.0000  0.5000
Sb  0.5000  0.5000  0.5000
H  0.0000  0.0000  0.0000


Below is crystalline LiAs2O6 at its relaxed geometry, with properties calculated at the GGA-PBE level.

**ΔE_f (raw)**: -1129 meV/atom

a = 4.9627 Å, b = 5.1321 Å, c = 5.5464 Å
α = 117.06°, β = 106.33°, γ = 97.88°
Fractional positions:
Li  0.0000  0.0000  0.0000
As  0.3947  0.7431  0.5144
As  0.6053  0.2569  0.4856
O  0.0831  0.7518  0.5934
O  0.3130  0.8966  0.2588
O  0.3912  0.3844  0.2342
O  0.6088  0.6156  0.7658
O  0.6870  0.1034  0.7412
O  0.9169  0.2482  0.4066


Below is crystalline Cd3Pb5 at its relaxed geometry, with properties calculated at the GGA-PBE level.

**ΔE_f**: 0.032 eV per atom

a = 3.4555 Å, b = 3.4555 Å, c = 19.0120 Å
α = 90.00°, β = 90.00°, γ = 92.30°
Fractional positions:
Cd  0.0000  0.0000  0.0000
Cd  0.5000  0.5000  0.1030
Cd  0.5000  0.5000  0.8970
Pb  0.0000  0.0000  0.2264
Pb  0.0000  0.0000  0.5000
Pb  0.0000  0.0000  0.7736
Pb  0.5000  0.5000  0.3626
Pb  0.5000  0.5000  0.6374


Below is crystalline TiAlIr2 at its relaxed geometry, with properties calculated at the GGA-PBE level.

**ΔE_f**: 0.256 eV per atom

a = 6.8256 Å, b = 6.8256 Å, c = 6.8256 Å
α = 131.49°, β = 131.49°, γ = 71.03°
Fractional positions:
Ti  0.0000  0.0000  0.0000
Ti  0.7500  0.2500  0.5000
Al  0.2500  0.7500  0.5000
Al  0.5000  0.5000  0.0000
Ir  0.1247  0.6250  0.9997
Ir  0.3750  0.3747  0.4997
Ir  0.6253  0.1250  0.0003
Ir  0.8750  0.8753  0.5003


Below is crystalline CdAsPd2 at its relaxed geometry, with properties calculated at the GGA-PBE level.

**ΔE_f**: -0.267 eV per atom

a = 4.5999 Å, b = 4.5999 Å, c = 3.2088 Å
α = 90.00°, β = 90.00°, γ = 90.00°
Fractional positions:
Cd  0.0000  0.0000  0.0000
As  0.5000  0.5000  0.0000
Pd  0.0000  0.5000  0.5000
Pd  0.5000  0.0000  0.5000


Below is crystalline Ga2Sn2Se at its relaxed geometry, with properties calculated at the GGA-PBE level.

**ΔE_f (raw)**: 50 meV/atom

a = 7.8796 Å, b = 7.8796 Å, c = 3.8309 Å
α = 90.00°, β = 90.00°, γ = 90.00°
Fractional positions:
Ga  0.1191  0.3809  0.0000
Ga  0.3809  0.8809  0.0000
Ga  0.6191  0.1191  0.0000
Ga  0.8809  0.6191  0.0000
Sn  0.1929  0.6929  0.5000
Sn  0.3071  0.1929  0.5000
Sn  0.6929  0.8071  0.5000
Sn  0.8071  0.3071  0.5000
Se  0.0000  0.0000  0.0000
Se  0.5000  0.5000  0.0000